Density functional theory data (PBE-GGA) for an optimized crystal structure of Be2Sn2Au.

Properties
* calculated formation energy: 224 meV per atom
* total magnetic moment: 0.000 μB/cell
* SG: P4/mbm, No. 127
* density: 8.6 g/cm3

abc: 6.5755 6.5755 4.0218
angles: 90.00 90.00 90.00
With the nearest neighbours (Å) after each atom.
Fractional coordinates of all 10 atoms:
Be1 0.3778 0.8778 0.0000  1 Be 2.27
Be2 0.8778 0.6222 0.0000  1 Be 2.27
Be3 0.6222 0.1222 0.0000  1 Be 2.27
Be4 0.1222 0.3778 0.0000  1 Be 2.27
Au1 0.0000 0.0000 0.0000  4 Be 2.61
Au2 0.5000 0.5000 0.0000  4 Be 2.61
Sn1 0.1741 0.6741 0.5000  6 Be 2.76-2.82
Sn2 0.6741 0.8259 0.5000  6 Be 2.76-2.82
Sn3 0.8259 0.3259 0.5000  6 Be 2.76-2.82
Sn4 0.3259 0.1741 0.5000  6 Be 2.76-2.82